# PBE HgP2PtCl, relaxed
# **Energy relative to the elements, uncorrected**: 2.3 eV per formula unit
# **Total DFT energy (no corrections)**: -16.7 eV/cell
# **E above lowest polymorph**: 0.00 eV per formula unit
data_HgP2PtCl
_space_group_name_H-M_alt 'P 4/m m m'
_space_group_IT_number 123
_space_group_name_Hall '-P 4 2'
_cell_length_a 4.670
_cell_length_b 4.670
_cell_length_c 5.226
_cell_angle_alpha 90.00
_cell_angle_beta 90.00
_cell_angle_gamma 90.00
loop_
_atom_site_label
_atom_site_type_symbol
_atom_site_fract_x
_atom_site_fract_y
_atom_site_fract_z
_atom_site_occupancy
Hg1 Hg 0.000 0.000 0.000 1
P1 P 0.000 0.500 0.500 1
Pt1 Pt 0.500 0.500 0.500 1
Cl1 Cl 0.500 0.500 0.000 1